Material: SbPt
Method: DFT, PBE
State: relaxed

* formation energy from raw total energies: -358.8 meV/atom
* DFT total energy: -5.440 eV/atom
* DOS(E_F): 2.376 states/eV per cell
* space group: No. 63

Lattice parameters (Å, degrees): 4.7125 4.7125 5.0495 90.00 90.00 121.94
With the nearest neighbours (Å) after each atom.
Positions (direct):
Sb (0.2294, 0.7706, 0.7500)  5 Pt 2.69-2.75
Sb (0.7706, 0.2294, 0.2500)  5 Pt 2.69-2.75
Pt (0.0971, 0.9029, 0.2500)  5 Sb 2.69-2.75, 2 Pt 2.99
Pt (0.9029, 0.0971, 0.7500)  5 Sb 2.69-2.75, 2 Pt 2.99